--- a ---
Material: K2NaTlBr6
Method: DFT, GGA-PBE
State: optimized geometry

Calculated values
- total magnetization (μB/f.u.) = 0.00

The structure in POSCAR format:
```
K2NaTlBr6
1.0
-5.858 -5.247 1.416
-1.333 -5.981 -5.129
1.778 -7.510 2.071
K Na Tl Br
2 1 1 6
Direct
0.750 0.750 0.750
0.250 0.250 0.250
0.500 0.500 0.500
0.000 0.000 0.000
0.755 0.245 0.245
0.245 0.245 0.755
0.245 0.755 0.755
0.245 0.755 0.245
0.755 0.245 0.755
0.755 0.755 0.245
```


--- b ---
Material: K2NaTlBr6
Method: DFT, GGA-PBE
State: optimized geometry

Calculated values
- total magnetization (μB/f.u.) = 0.00

The structure in POSCAR format:
```
K2NaTlBr6
1.0
-1.603 -6.690 3.483
7.656 -2.423 -1.131
2.744 4.126 9.738
K Na Tl Br
4 2 2 12
Direct
0.028 0.919 0.254
0.528 0.581 0.754
0.972 0.081 0.746
0.472 0.419 0.246
0.500 0.000 0.000
0.000 0.500 0.500
0.500 0.000 0.500
0.000 0.500 0.000
0.296 0.689 0.052
0.796 0.811 0.552
0.704 0.311 0.948
0.204 0.189 0.448
0.317 0.708 0.444
0.817 0.792 0.944
0.683 0.292 0.556
0.183 0.208 0.056
0.887 0.530 0.243
0.387 0.970 0.743
0.113 0.470 0.757
0.613 0.030 0.257
```


Which of them is the most stable, and which is the least stable? b and a, in that order.


--- a ---
Material: K2NdBr5
Method: DFT, GGA-PBE
State: optimized geometry

Calculated values
- total magnetization (μB/f.u.) = 0.00

The structure in POSCAR format:
```
K2NdBr5
1.0
-5.061 1.649 -6.770
6.563 -3.165 -5.677
-5.298 -12.589 0.894
K Nd Br
8 4 20
Direct
0.948 0.004 0.827
0.052 0.996 0.173
0.448 0.996 0.673
0.052 0.504 0.173
0.552 0.004 0.327
0.948 0.496 0.827
0.552 0.496 0.327
0.448 0.504 0.673
0.923 0.750 0.506
0.077 0.250 0.494
0.423 0.250 0.994
0.577 0.750 0.006
0.126 0.750 0.679
0.874 0.250 0.321
0.626 0.250 0.821
0.374 0.750 0.179
0.835 0.044 0.577
0.165 0.956 0.423
0.335 0.956 0.923
0.165 0.544 0.423
0.665 0.044 0.077
0.835 0.456 0.577
0.665 0.456 0.077
0.335 0.544 0.923
0.577 0.750 0.509
0.423 0.250 0.491
0.077 0.250 0.991
0.923 0.750 0.009
0.663 0.750 0.797
0.337 0.250 0.203
0.163 0.250 0.703
0.837 0.750 0.297
```


--- b ---
Material: K2NdBr5
Method: DFT, GGA-PBE
State: optimized geometry

Calculated values
- total magnetization (μB/f.u.) = 0.00

The structure in POSCAR format:
```
K2NdBr5
1.0
-5.846 5.840 1.897
-2.534 0.091 -8.090
0.059 -7.511 4.338
K Nd Br
2 1 5
Direct
0.155 0.655 0.310
0.655 0.155 0.310
0.988 0.988 0.977
0.823 0.282 0.105
0.282 0.282 0.105
0.823 0.822 0.105
0.282 0.822 0.104
0.769 0.770 0.539
```


Which of them is the most stable, and which is the least stable? a and b, in that order.


--- a ---
Material: KNi3Br
Method: DFT, GGA-PBE
State: optimized geometry

Calculated values
- total magnetization (μB/f.u.) = 0.00

The structure in POSCAR format:
```
KNi3Br
1.0
-2.659 2.484 2.753
-3.329 -0.106 -3.119
-1.634 -3.826 1.874
Ni K Br
3 1 1
Direct
0.000 0.500 0.000
0.000 0.000 0.500
0.500 0.000 0.000
0.500 0.500 0.500
0.000 0.000 0.000
```


--- b ---
Material: KNi3Br
Method: DFT, GGA-PBE
State: optimized geometry

Calculated values
- total magnetization (μB/f.u.) = 1.66

The structure in POSCAR format:
```
KNi3Br
1.0
4.832 0.000 0.000
0.000 4.832 0.000
0.000 0.000 4.832
Ni K Br
3 1 1
Direct
0.000 0.500 0.000
0.000 0.000 0.500
0.500 0.000 0.000
0.000 0.000 0.000
0.500 0.500 0.500
```


Which of them is the most stable, and which is the least stable? a and b, in that order.


--- a ---
Material: KNiSeBr2
Method: DFT, GGA-PBE
State: optimized geometry

Calculated values
- total magnetization (μB/f.u.) = 3.02

The structure in POSCAR format:
```
KNiSeBr2
1.0
5.977 0.000 0.000
0.000 5.977 0.000
0.000 0.000 5.921
Ni K Se Br
1 1 1 2
Direct
0.500 0.500 0.500
0.000 0.000 0.000
0.000 0.000 0.500
0.000 0.500 0.000
0.500 0.000 0.000
```


--- b ---
Material: KNiSeBr2
Method: DFT, GGA-PBE
State: optimized geometry

Calculated values
- total magnetization (μB/f.u.) = 1.70

The structure in POSCAR format:
```
KNiSeBr2
1.0
5.349 0.000 0.000
0.000 5.349 0.000
0.000 0.000 4.605
Ni K Se Br
1 1 1 2
Direct
0.000 0.000 0.000
0.500 0.500 0.500
0.000 0.000 0.500
0.000 0.500 0.000
0.500 0.000 0.000
```


Which of them is the most stable, and which is the least stable? b and a, in that order.


--- a ---
Material: K2NpBr8
Method: DFT, GGA-PBE
State: optimized geometry

Calculated values
- total magnetization (μB/f.u.) = 1.05

The structure in POSCAR format:
```
K2NpBr8
1.0
5.173 0.000 0.000
0.000 6.940 -0.088
-2.587 -3.188 10.641
K Np Br
2 1 8
Direct
0.815 0.313 0.630
0.185 0.687 0.370
0.500 0.000 0.000
0.427 0.607 0.853
0.619 0.961 0.239
0.778 0.760 0.556
0.976 0.197 0.952
0.222 0.240 0.444
0.381 0.039 0.761
0.573 0.393 0.147
0.024 0.803 0.048
```


--- b ---
Material: K2NpBr8
Method: DFT, GGA-PBE
State: optimized geometry

Calculated values
- total magnetization (μB/f.u.) = 2.06

The structure in POSCAR format:
```
K2NpBr8
1.0
5.961 -0.028 1.312
1.535 8.912 1.189
-0.247 0.416 9.108
K Np Br
2 1 8
Direct
0.105 0.292 0.292
0.895 0.708 0.708
0.000 0.000 0.000
0.798 0.083 0.754
0.202 0.246 0.917
0.671 0.172 0.172
0.329 0.828 0.828
0.798 0.754 0.083
0.202 0.917 0.246
0.259 0.498 0.498
0.741 0.502 0.502
```


Which of them is the most stable, and which is the least stable? b and a, in that order.


--- a ---
Material: KBr3O
Method: DFT, GGA-PBE
State: optimized geometry

Calculated values
- total magnetization (μB/f.u.) = 4.00

The structure in POSCAR format:
```
KBr3O
1.0
6.354 0.000 0.000
0.000 6.354 0.000
0.000 0.000 6.354
K Br O
1 3 1
Direct
0.000 0.000 0.000
0.000 0.500 0.000
0.000 0.000 0.500
0.500 0.000 0.000
0.500 0.500 0.500
```


--- b ---
Material: KBr3O
Method: DFT, GGA-PBE
State: optimized geometry

Calculated values
- total magnetization (μB/f.u.) = 0.00

The structure in POSCAR format:
```
KBr3O
1.0
4.947 0.000 0.000
0.000 4.947 0.000
0.000 0.000 4.947
K Br O
1 3 1
Direct
0.500 0.500 0.500
0.000 0.500 0.000
0.000 0.000 0.500
0.500 0.000 0.000
0.000 0.000 0.000
```


Which of them is the most stable, and which is the least stable? b and a, in that order.